No. 1
The following is a PBEsol calculation of a relaxed structure of Ba2LaCr, from Alexandria via LeMat-Bulk.

Cell: 5.898 5.898 5.898 Å, 60.00 60.00 60.00°
Fractional positions:
Ba 0.250 0.250 0.250
Ba 0.750 0.750 0.750
La 0.000 0.000 0.000
Cr 0.500 0.500 0.500

Output
- E_form: 716.7 meV per atom
- Space-group type: Fm-3m
- E: -4.255 eV/atom

---

No. 2
The following is a PBEsol calculation of a relaxed structure of Ba4LaTi4CrO15, from Alexandria via LeMat-Bulk.

Cell: 14.225 14.225 3.961 Å, 90.00 90.00 157.28°
Fractional positions:
Ba 0.098 0.902 0.000
Ba 0.301 0.699 0.000
Ba 0.699 0.301 0.000
Ba 0.902 0.098 0.000
La 0.500 0.500 0.000
Ti 0.199 0.801 0.500
Ti 0.402 0.598 0.500
Ti 0.598 0.402 0.500
Ti 0.801 0.199 0.500
Cr 0.000 0.000 0.500
O 0.000 0.000 0.000
O 0.000 0.500 0.500
O 0.102 0.399 0.500
O 0.199 0.801 0.000
O 0.214 0.308 0.500
O 0.308 0.214 0.500
O 0.399 0.102 0.500
O 0.405 0.595 0.000
O 0.500 0.000 0.500
O 0.595 0.405 0.000
O 0.601 0.898 0.500
O 0.692 0.786 0.500
O 0.786 0.692 0.500
O 0.801 0.199 0.000
O 0.898 0.601 0.500

Output
- Formation energy without anion corrections: -76.5 eV/f.u.
- Space-group type: Cmmm
- E: -8.510 eV/atom

---

No. 3
The following is a PBEsol calculation of a relaxed structure of BaLa2TiCr2O9, from Alexandria via LeMat-Bulk.

Cell: 8.672 8.672 3.894 Å, 90.00 90.00 142.86°
Fractional positions:
Ba 0.000 0.000 0.000
La 0.328 0.672 0.000
La 0.672 0.328 0.000
Ti 0.500 0.500 0.500
Cr 0.166 0.834 0.500
Cr 0.834 0.166 0.500
O 0.000 0.500 0.500
O 0.173 0.348 0.500
O 0.176 0.824 0.000
O 0.348 0.173 0.500
O 0.500 0.000 0.500
O 0.500 0.500 0.000
O 0.652 0.827 0.500
O 0.824 0.176 0.000
O 0.827 0.652 0.500

Output
- Formation energy without anion corrections: -43.3 eV/f.u.
- Space-group type: Cmmm
- E: -8.816 eV/atom

---

No. 4
The following is a PBEsol calculation of a relaxed structure of BaLaTiCrO6, from Alexandria via LeMat-Bulk.

Cell: 5.531 5.531 5.531 Å, 60.00 60.00 60.00°
Fractional positions:
Ba 0.000 0.000 0.000
La 0.500 0.500 0.500
Ti 0.750 0.750 0.750
Cr 0.250 0.250 0.250
O 0.000 0.000 0.500
O 0.000 0.500 0.000
O 0.000 0.500 0.500
O 0.500 0.000 0.000
O 0.500 0.000 0.500
O 0.500 0.500 0.000

Output
- Formation energy without anion corrections: -29.4 eV/f.u.
- Space-group type: F-43m
- E: -8.692 eV/atom